# TmPuGa4 | Alexandria | PBE | relaxed
data_TmPuGa4
_chemical_formula_sum 'Tm2 Pu2 Ga8'
_cell_length_a 4.426
_cell_length_b 7.138
_cell_length_c 7.696
_cell_angle_alpha 90.00
_cell_angle_beta 90.00
_cell_angle_gamma 90.00
_symmetry_space_group_name_H-M 'P 1'
_symmetry_Int_Tables_number 1
loop_
_symmetry_equiv_pos_as_xyz
'x,y,z'
loop_
_atom_site_label
_atom_site_type_symbol
_atom_site_fract_x
_atom_site_fract_y
_atom_site_fract_z
Tm1 Tm 0.000 0.000 0.000
Tm2 Tm 0.500 0.500 0.500
Pu1 Pu 0.000 0.500 0.002
Pu2 Pu 0.500 0.000 0.502
Ga1 Ga 0.000 0.256 0.334
Ga2 Ga 0.000 0.258 0.668
Ga3 Ga 0.000 0.742 0.668
Ga4 Ga 0.000 0.744 0.334
Ga5 Ga 0.500 0.242 0.168
Ga6 Ga 0.500 0.244 0.834
Ga7 Ga 0.500 0.756 0.834
Ga8 Ga 0.500 0.758 0.168
# Total magnetic moment: 12.01 Bohr magnetons per cell
# DFT formation energy: -0.48 eV/atom
# Fermi-level density of states: 1.6860 states/eV per atom

# GdHoZnIn | Alexandria | PBE | relaxed
data_GdHoZnIn
_chemical_formula_sum 'Gd4 Ho4 Zn4 In4'
_cell_length_a 7.379
_cell_length_b 7.379
_cell_length_c 7.379
_cell_angle_alpha 90.00
_cell_angle_beta 90.00
_cell_angle_gamma 90.00
_symmetry_space_group_name_H-M 'P 1'
_symmetry_Int_Tables_number 1
loop_
_symmetry_equiv_pos_as_xyz
'x,y,z'
loop_
_atom_site_label
_atom_site_type_symbol
_atom_site_fract_x
_atom_site_fract_y
_atom_site_fract_z
Gd1 Gd 0.000 0.000 0.000
Gd2 Gd 0.000 0.500 0.500
Gd3 Gd 0.500 0.000 0.500
Gd4 Gd 0.500 0.500 0.000
Ho1 Ho 0.000 0.000 0.500
Ho2 Ho 0.000 0.500 0.000
Ho3 Ho 0.500 0.000 0.000
Ho4 Ho 0.500 0.500 0.500
Zn1 Zn 0.250 0.250 0.750
Zn2 Zn 0.250 0.750 0.250
Zn3 Zn 0.750 0.250 0.250
Zn4 Zn 0.750 0.750 0.750
In1 In 0.250 0.250 0.250
In2 In 0.250 0.750 0.750
In3 In 0.750 0.250 0.750
In4 In 0.750 0.750 0.250
# Total magnetic moment: 30.53 Bohr magnetons per cell
# DFT formation energy: -0.40 eV/atom
# Fermi-level density of states: 0.8066 states/eV per atom

# ZrVSeBr2 | Alexandria | PBE | relaxed
data_ZrVSeBr2
_chemical_formula_sum 'Zr1 V1 Se1 Br2'
_cell_length_a 4.961
_cell_length_b 4.961
_cell_length_c 5.099
_cell_angle_alpha 90.00
_cell_angle_beta 90.00
_cell_angle_gamma 90.00
_symmetry_space_group_name_H-M 'P 1'
_symmetry_Int_Tables_number 1
loop_
_symmetry_equiv_pos_as_xyz
'x,y,z'
loop_
_atom_site_label
_atom_site_type_symbol
_atom_site_fract_x
_atom_site_fract_y
_atom_site_fract_z
Zr1 Zr 0.000 0.000 0.000
V1 V 0.500 0.500 0.500
Se1 Se 0.500 0.500 0.000
Br1 Br 0.000 0.500 0.500
Br2 Br 0.500 0.000 0.500
# Total magnetic moment: 5.00 Bohr magnetons per cell
# Fermi-level density of states: 1.1274 states/eV per atom
# Uncorrected formation energy: 0.01 eV/atom

Computed total energy (Ha/atom) in order:
-0.2069; -0.2230; -0.1798